[1]
First-principles (GGA-PBE) data for a geometry-optimized Na2BiHAu structure, as listed in the Alexandria database.

total DFT energy (no corrections)	-13.5	eV for the cell shown

Cell lengths 4.703, 4.703, 4.561 Å; angles 90.00, 90.00, 90.00 degrees
Space group P4/mmm (No. 123)
Symmetry-distinct sites (fractional):
Na1 0.000 0.500 0.000 [2 per cell]
Bi1 0.000 0.000 0.500 [1 per cell]
H1 0.000 0.000 0.000 [1 per cell]
Au1 0.500 0.500 0.500 [1 per cell]

[2]
First-principles (GGA-PBE) data for a geometry-optimized Na2BiHAu structure, as listed in the Alexandria database.

total DFT energy (no corrections)	-14.2	eV for the cell shown

Cell lengths 5.351, 5.351, 3.632 Å; angles 90.00, 90.00, 90.00 degrees
Space group P4/mmm (No. 123)
Symmetry-distinct sites (fractional):
Na1 0.000 0.500 0.000 [2 per cell]
Bi1 0.000 0.000 0.500 [1 per cell]
H1 0.500 0.500 0.000 [1 per cell]
Au1 0.500 0.500 0.500 [1 per cell]

[3]
First-principles (GGA-PBE) data for a geometry-optimized Na6Bi2HAu structure, as listed in the Alexandria database.

total DFT energy (no corrections)	-47.7	eV for the cell shown

Cell lengths 10.149, 10.269, 7.215 Å; angles 90.00, 134.67, 90.00 degrees
Space group C2/m (No. 12)
Symmetry-distinct sites (fractional):
Na1 0.000 0.230 0.000 [4 per cell]
Na2 0.229 0.000 0.001 [4 per cell]
Na3 0.229 0.000 0.459 [4 per cell]
Bi1 0.000 0.251 0.500 [4 per cell]
H1 0.000 0.000 0.000 [2 per cell]
Au1 0.000 0.500 0.000 [2 per cell]

[4]
First-principles (GGA-PBE) data for a geometry-optimized BiHAuO2 structure, as listed in the Alexandria database.

total DFT energy (no corrections)	-18.0	eV for the cell shown

Cell lengths 4.185, 4.185, 5.777 Å; angles 90.00, 90.00, 90.00 degrees
Space group P4/mmm (No. 123)
Symmetry-distinct sites (fractional):
Bi1 0.000 0.000 0.000 [1 per cell]
H1 0.500 0.500 0.500 [1 per cell]
Au1 0.000 0.000 0.500 [1 per cell]
O1 0.000 0.500 0.000 [2 per cell]